Density functional theory data (PBE) for a relaxed Ba2CdBr crystal.

Summary:
Distance to the lowest polymorph of the same formula, eV/f.u.: 0.02
DFT total energy, eV/atom: -2.507
Raw formation energy, eV/atom: -0.899

Structure (CIF):
```
data_Ba2CdBr
_space_group_name_H-M_alt 'R -3 m'
_space_group_IT_number 166
_space_group_name_Hall '-R 3 2"'
_cell_length_a 4.7477
_cell_length_b 4.7477
_cell_length_c 26.4377
_cell_angle_alpha 90.00
_cell_angle_beta 90.00
_cell_angle_gamma 120.00
loop_
_atom_site_label
_atom_site_fract_x
_atom_site_fract_y
_atom_site_fract_z
Ba1 0.0000 0.0000 0.2504
Cd1 0.0000 0.0000 0.0000
Br1 0.0000 0.0000 0.5000
```